Material: DyHo2Ti
Method: DFT, PBE-GGA
State: optimized geometry

a = 3.3822 Å, b = 3.3822 Å, c = 9.5100 Å
α = 90.00°, β = 90.00°, γ = 90.00°
Closest atoms and distances in Å follow each position.
Atoms (fractional coordinates):
Dy  0.0000  0.0000  0.0000  4 Dy 3.38, 8 Ho 3.58
Ho  0.5000  0.5000  0.2803  4 Ti 3.18, 4 Ho 3.38
Ho  0.5000  0.5000  0.7197  4 Ti 3.18, 4 Ho 3.38
Ti  0.0000  0.0000  0.5000  8 Ho 3.18, 4 Ti 3.38

- Symmetry: P4/mmm (123)
- Crystal system: tetragonal
- E above lowest polymorph: 0 meV per atom
- Size of the total moment: 0.00 μB/cell



Material: LiAlCo2
Method: DFT, PBE-GGA
State: optimized geometry

a = 2.5248 Å, b = 3.9105 Å, c = 4.8953 Å
α = 90.00°, β = 102.51°, γ = 90.00°
Closest atoms and distances in Å follow each position.
Atoms (fractional coordinates):
Li  0.0000  0.0000  0.0000  4 Co 2.44, 2 Al 2.50, 2 Li 2.52
Al  0.5000  0.0000  0.5000  8 Co 2.49-2.78, 2 Li 2.50, 2 Al 2.52
Co  0.2278  0.5000  0.7517  2 Li 2.44, 4 Co 2.48-2.52, 2 Al 2.49
Co  0.7722  0.5000  0.2483  2 Li 2.44, 4 Co 2.48-2.52, 2 Al 2.49

- Symmetry: P2/m (10)
- Crystal system: monoclinic
- Size of the total moment: 2.42 μB/cell
- Total DFT energy (no corrections): -5.02 eV per atom



Q: Among the records above, which one has the lowest size of the total moment?
A: DyHo2Ti



Q: size of the total moment of number 1 (DyHo2Ti)?
A: 0.00 μB/cell



Q: Look up the size of the total moment of the first one.
A: 0.00 μB/cell